1.
{
  "formula": "La3Ti4O12",
  "functional": "GGA-PBEsol",
  "state": "relaxed",
  "formation_energy_uncorrected_mev_per_atom": -3309,
  "lattice": [[5.476, -0.014, 0.000], [-0.080, 5.476, 0.000], [0.000, 0.000, 7.741]],
  "species": ["La", "La", "La", "Ti", "Ti", "Ti", "Ti", "O", "O", "O", "O", "O", "O", "O", "O", "O", "O", "O", "O"],
  "frac_coords": [[0.748, 0.252, 0.000], [0.742, 0.258, 0.500], [0.254, 0.746, 0.000], [0.749, 0.752, 0.742], [0.749, 0.752, 0.258], [0.248, 0.251, 0.742], [0.248, 0.251, 0.258], [0.009, 0.991, 0.804], [0.009, 0.991, 0.196], [0.980, 0.479, 0.759], [0.980, 0.479, 0.241], [0.787, 0.797, 0.500], [0.702, 0.710, 0.000], [0.521, 0.020, 0.759], [0.521, 0.020, 0.241], [0.501, 0.499, 0.718], [0.501, 0.499, 0.282], [0.290, 0.298, 0.000], [0.203, 0.213, 0.500]]
}

2.
{
  "formula": "Na3SnHg",
  "functional": "GGA-PBEsol",
  "state": "relaxed",
  "formation_energy_mev_per_atom": 134,
  "lattice": [[5.876, 0.000, 0.000], [0.000, 5.876, 0.000], [0.000, 0.000, 5.876]],
  "species": ["Na", "Na", "Na", "Hg", "Sn"],
  "frac_coords": [[0.000, 0.500, 0.000], [0.000, 0.000, 0.500], [0.500, 0.000, 0.000], [0.500, 0.500, 0.500], [0.000, 0.000, 0.000]]
}

3.
{
  "formula": "Cr2GeI",
  "functional": "GGA-PBEsol",
  "state": "relaxed",
  "formation_energy_uncorrected_mev_per_atom": 702,
  "lattice": [[-2.051, -1.695, 3.461], [1.281, -3.842, 1.631], [2.017, -0.166, 3.868]],
  "species": ["I", "Cr", "Cr", "Ge"],
  "frac_coords": [[0.500, 0.500, 0.500], [0.250, 0.250, 0.250], [0.750, 0.750, 0.750], [0.000, 0.000, 0.000]]
}

4.
{
  "formula": "ReP2Pt",
  "functional": "GGA-PBEsol",
  "state": "relaxed",
  "e_above_lowest_polymorph_ev_per_fu": 0.08,
  "formation_energy_mev_per_atom": 333,
  "lattice": [[-2.387, -0.882, -1.539], [0.357, -3.586, 1.502], [-2.905, 1.289, 3.768]],
  "species": ["P", "P", "Pt", "Re"],
  "frac_coords": [[0.000, 0.000, 0.000], [0.500, 0.000, 0.500], [0.500, 0.500, 0.000], [0.000, 0.500, 0.500]]
}

5.
{
  "formula": "Ba2AgPdS",
  "functional": "GGA-PBEsol",
  "state": "relaxed",
  "formation_energy_uncorrected_mev_per_atom": -684,
  "lattice": [[-2.672, -2.187, 2.823], [4.551, -3.584, 1.531], [1.518, 3.798, 4.379]],
  "species": ["S", "Pd", "Ba", "Ba", "Ag"],
  "frac_coords": [[0.000, 0.000, 0.000], [0.500, 0.000, 0.000], [0.000, 0.000, 0.500], [0.000, 0.500, 0.000], [0.500, 0.500, 0.500]]
}

6.
{
  "formula": "Ca4RePb",
  "functional": "GGA-PBEsol",
  "state": "relaxed",
  "formation_energy_mev_per_atom": 947,
  "lattice": [[5.988, 0.000, 0.000], [2.994, 5.186, 0.000], [2.994, 1.729, 4.889]],
  "species": ["Ca", "Ca", "Ca", "Ca", "Pb", "Re"],
  "frac_coords": [[0.374, 0.374, 0.374], [0.374, 0.374, 0.879], [0.879, 0.374, 0.374], [0.374, 0.879, 0.374], [0.750, 0.750, 0.750], [0.000, 0.000, 0.000]]
}

7.
{
  "formula": "SrSc",
  "functional": "GGA-PBEsol",
  "state": "relaxed",
  "e_above_lowest_polymorph_ev_per_fu": 0.00,
  "formation_energy_mev_per_atom": 198,
  "lattice": [[3.823, 0.000, 0.000], [0.000, 3.823, 0.000], [0.000, 0.000, 9.540]],
  "species": ["Sc", "Sc", "Sr", "Sr"],
  "frac_coords": [[0.500, 0.000, 0.079], [0.000, 0.500, 0.921], [0.500, 0.000, 0.669], [0.000, 0.500, 0.331]]
}

8.
{
  "formula": "VNi3",
  "functional": "GGA-PBEsol",
  "state": "relaxed",
  "formation_energy_mev_per_atom": -268,
  "lattice": [[3.478, 0.000, 0.000], [0.000, 3.478, 0.000], [-1.739, -1.739, 3.550]],
  "species": ["Ni", "Ni", "Ni", "V"],
  "frac_coords": [[0.250, 0.750, 0.500], [0.750, 0.250, 0.500], [0.500, 0.500, 0.000], [0.000, 0.000, 0.000]]
}

9.
{
  "formula": "Na3LaZr",
  "functional": "GGA-PBEsol",
  "state": "relaxed",
  "e_above_lowest_polymorph_ev_per_fu": 0.00,
  "formation_energy_mev_per_atom": 1237,
  "lattice": [[5.620, 0.000, 0.000], [0.000, 5.620, 0.000], [0.000, 0.000, 5.620]],
  "species": ["Na", "Na", "Na", "Zr", "La"],
  "frac_coords": [[0.000, 0.500, 0.000], [0.000, 0.000, 0.500], [0.500, 0.000, 0.000], [0.000, 0.000, 0.000], [0.500, 0.500, 0.500]]
}

10.
{
  "formula": "Hf3AgN",
  "functional": "GGA-PBEsol",
  "state": "relaxed",
  "formation_energy_uncorrected_mev_per_atom": -841,
  "lattice": [[4.368, 0.000, 0.000], [0.000, 4.368, 0.000], [0.000, 0.000, 4.368]],
  "species": ["Hf", "Hf", "Hf", "Ag", "N"],
  "frac_coords": [[0.000, 0.500, 0.000], [0.000, 0.000, 0.500], [0.500, 0.000, 0.000], [0.500, 0.500, 0.500], [0.000, 0.000, 0.000]]
}

11.
{
  "formula": "CsMgInF6",
  "functional": "GGA-PBEsol",
  "state": "relaxed",
  "formation_energy_uncorrected_mev_per_atom": -2978,
  "lattice": [[7.398, 0.000, 0.000], [3.699, 6.568, 0.003], [3.699, 2.027, 6.248]],
  "species": ["Cs", "Cs", "Mg", "Mg", "In", "In", "F", "F", "F", "F", "F", "F", "F", "F", "F", "F", "F", "F"],
  "frac_coords": [[0.413, 0.837, 0.337], [0.587, 0.163, 0.663], [0.500, 0.500, 0.000], [0.000, 0.500, 0.000], [0.000, 0.500, 0.500], [0.000, 0.000, 0.000], [0.087, 0.556, 0.685], [0.913, 0.815, 0.944], [0.328, 0.444, 0.315], [0.672, 0.185, 0.056], [0.913, 0.444, 0.315], [0.087, 0.185, 0.056], [0.672, 0.556, 0.685], [0.328, 0.815, 0.944], [0.916, 0.834, 0.334], [0.084, 0.166, 0.666], [0.698, 0.552, 0.052], [0.302, 0.448, 0.948]]
}

12.
{
  "formula": "ZrTlCo2W",
  "functional": "GGA-PBEsol",
  "state": "relaxed",
  "formation_energy_mev_per_atom": 2168,
  "lattice": [[-0.058, -1.626, 4.196], [-2.758, -3.303, -1.318], [4.075, -2.966, -1.092]],
  "species": ["Tl", "Co", "Co", "Zr", "W"],
  "frac_coords": [[0.000, 0.000, 0.000], [0.000, 0.500, 0.000], [0.500, 0.000, 0.000], [0.000, 0.000, 0.500], [0.500, 0.500, 0.500]]
}

13.
{
  "formula": "La2Cu",
  "functional": "GGA-PBEsol",
  "state": "relaxed",
  "formation_energy_mev_per_atom": -42,
  "lattice": [[3.585, 0.000, 0.000], [-1.793, 6.299, 0.033], [0.000, -1.827, 6.881]],
  "species": ["Cu", "Cu", "La", "La", "La", "La"],
  "frac_coords": [[0.986, 0.972, 0.204], [0.014, 0.028, 0.796], [0.628, 0.255, 0.556], [0.344, 0.688, 0.908], [0.656, 0.312, 0.092], [0.372, 0.745, 0.444]]
}

14.
{
  "formula": "ZnIrO2F",
  "functional": "GGA-PBEsol",
  "state": "relaxed",
  "formation_energy_uncorrected_mev_per_atom": 220,
  "lattice": [[3.846, 0.000, 0.000], [0.000, 3.846, 0.000], [0.000, 0.000, 3.819]],
  "species": ["Zn", "Ir", "O", "O", "F"],
  "frac_coords": [[0.000, 0.000, 0.000], [0.500, 0.500, 0.500], [0.000, 0.500, 0.000], [0.500, 0.000, 0.000], [0.000, 0.000, 0.500]]
}

15.
{
  "formula": "ZrTiCd3",
  "functional": "GGA-PBEsol",
  "state": "relaxed",
  "formation_energy_mev_per_atom": 950,
  "lattice": [[4.969, 0.000, 0.000], [0.000, 4.969, 0.000], [0.000, 0.000, 4.969]],
  "species": ["Ti", "Zr", "Cd", "Cd", "Cd"],
  "frac_coords": [[0.000, 0.000, 0.000], [0.500, 0.500, 0.500], [0.000, 0.500, 0.000], [0.000, 0.000, 0.500], [0.500, 0.000, 0.000]]
}

16.
{
  "formula": "LaSb2TeS",
  "functional": "GGA-PBEsol",
  "state": "relaxed",
  "formation_energy_uncorrected_mev_per_atom": -316,
  "lattice": [[5.305, 0.000, 0.000], [0.000, 5.139, 0.000], [0.000, 0.000, 5.139]],
  "species": ["Sb", "Sb", "S", "Te", "La"],
  "frac_coords": [[0.000, 0.000, 0.500], [0.000, 0.500, 0.000], [0.000, 0.000, 0.000], [0.500, 0.000, 0.000], [0.500, 0.500, 0.500]]
}

17.
{
  "formula": "CaY2Co",
  "functional": "GGA-PBEsol",
  "state": "relaxed",
  "e_above_lowest_polymorph_ev_per_fu": 1.56,
  "formation_energy_mev_per_atom": 357,
  "lattice": [[-2.230, -1.174, -3.015], [1.643, -4.592, 0.573], [-3.694, -0.935, 3.097]],
  "species": ["Y", "Y", "Ca", "Co"],
  "frac_coords": [[0.000, 0.000, 0.000], [0.000, 0.500, 0.500], [0.500, 0.500, 0.000], [0.500, 0.000, 0.500]]
}

18.
{
  "formula": "SrCr2Re",
  "functional": "GGA-PBEsol",
  "state": "relaxed",
  "formation_energy_mev_per_atom": 1152,
  "lattice": [[-4.485, -0.297, 0.277], [-1.917, -3.781, 1.519], [-2.009, -0.044, 4.030]],
  "species": ["Cr", "Cr", "Re", "Sr"],
  "frac_coords": [[0.750, 0.750, 0.750], [0.250, 0.250, 0.250], [0.000, 0.000, 0.000], [0.500, 0.500, 0.500]]
}

19.
{
  "formula": "SrSi",
  "functional": "GGA-PBEsol",
  "state": "relaxed",
  "formation_energy_uncorrected_mev_per_atom": -508,
  "lattice": [[-2.184, 2.915, -1.659], [-4.996, -2.259, 2.610], [1.394, 5.051, 7.040]],
  "species": ["Sr", "Sr", "Sr", "Sr", "Si", "Si", "Si", "Si"],
  "frac_coords": [[0.750, 0.893, 0.680], [0.250, 0.393, 0.820], [0.250, 0.107, 0.320], [0.750, 0.607, 0.180], [0.750, 0.391, 0.531], [0.250, 0.891, 0.969], [0.250, 0.609, 0.469], [0.750, 0.109, 0.031]]
}

20.
{
  "formula": "Fe2Mo4N",
  "functional": "GGA-PBEsol",
  "state": "relaxed",
  "formation_energy_uncorrected_mev_per_atom": -203,
  "lattice": [[7.883, 0.000, 0.000], [3.942, 6.827, 0.000], [3.942, 2.276, 6.437]],
  "species": ["Fe", "Fe", "Fe", "Fe", "Fe", "Fe", "Fe", "Fe", "Mo", "Mo", "Mo", "Mo", "Mo", "Mo", "Mo", "Mo", "Mo", "Mo", "Mo", "Mo", "Mo", "Mo", "Mo", "Mo", "N", "N", "N", "N"],
  "frac_coords": [[0.417, 0.748, 0.417], [0.417, 0.417, 0.417], [0.417, 0.417, 0.748], [0.833, 0.833, 0.502], [0.833, 0.502, 0.833], [0.502, 0.833, 0.833], [0.748, 0.417, 0.417], [0.833, 0.833, 0.833], [0.059, 0.441, 0.441], [0.625, 0.625, 0.625], [0.191, 0.809, 0.191], [0.059, 0.059, 0.441], [0.441, 0.059, 0.059], [0.809, 0.191, 0.809], [0.191, 0.191, 0.809], [0.191, 0.809, 0.809], [0.441, 0.059, 0.441], [0.809, 0.191, 0.191], [0.625, 0.125, 0.625], [0.059, 0.441, 0.059], [0.441, 0.441, 0.059], [0.809, 0.809, 0.191], [0.625, 0.625, 0.125], [0.125, 0.625, 0.625], [0.625, 0.125, 0.125], [0.125, 0.125, 0.125], [0.125, 0.125, 0.625], [0.125, 0.625, 0.125]]
}

21.
{
  "formula": "ZnCoP2",
  "functional": "GGA-PBEsol",
  "state": "relaxed",
  "formation_energy_mev_per_atom": -118,
  "lattice": [[2.562, 0.000, 0.000], [0.000, 3.463, 0.000], [0.000, 0.000, 6.482]],
  "species": ["Co", "P", "P", "Zn"],
  "frac_coords": [[0.500, 0.500, 0.937], [0.000, 0.000, 0.828], [0.500, 0.500, 0.268], [0.000, 0.000, 0.466]]
}

22.
{
  "formula": "MnFe2Ni",
  "functional": "GGA-PBEsol",
  "state": "relaxed",
  "formation_energy_mev_per_atom": 3,
  "lattice": [[3.452, 0.000, 0.000], [0.000, 3.452, 0.000], [-1.726, -1.726, 3.566]],
  "species": ["Ni", "Mn", "Fe", "Fe"],
  "frac_coords": [[0.000, 0.000, 0.000], [0.500, 0.500, 0.000], [0.750, 0.250, 0.500], [0.250, 0.750, 0.500]]
}

23.
{
  "formula": "Tl2Te",
  "functional": "GGA-PBEsol",
  "state": "relaxed",
  "e_above_lowest_polymorph_ev_per_fu": 0.26,
  "formation_energy_uncorrected_mev_per_atom": -161,
  "lattice": [[-2.790, 4.599, 0.608], [-3.328, 1.686, -3.923], [-5.360, -0.164, 0.741]],
  "species": ["Tl", "Tl", "Te"],
  "frac_coords": [[0.750, 0.750, 0.750], [0.250, 0.250, 0.250], [0.000, 0.000, 0.000]]
}

24.
{
  "formula": "BaScZn3GaO7",
  "functional": "GGA-PBEsol",
  "state": "relaxed",
  "formation_energy_uncorrected_mev_per_atom": -2173,
  "lattice": [[-1.097, -1.958, -5.779], [2.405, -3.889, 4.187], [-9.273, -2.813, 2.713]],
  "species": ["Ba", "Ba", "Sc", "Sc", "Zn", "Zn", "Zn", "Zn", "Zn", "Zn", "Ga", "Ga", "O", "O", "O", "O", "O", "O", "O", "O", "O", "O", "O", "O", "O", "O"],
  "frac_coords": [[0.667, 0.333, 0.512], [0.333, 0.667, 0.012], [0.667, 0.333, 0.869], [0.333, 0.667, 0.369], [0.173, 0.827, 0.688], [0.173, 0.346, 0.688], [0.654, 0.827, 0.688], [0.827, 0.173, 0.188], [0.827, 0.654, 0.188], [0.346, 0.173, 0.188], [0.000, 0.000, 0.437], [0.000, 0.000, 0.937], [0.510, 0.490, 0.751], [0.510, 0.019, 0.751], [0.981, 0.490, 0.751], [0.490, 0.510, 0.251], [0.490, 0.981, 0.251], [0.019, 0.510, 0.251], [0.000, 0.000, 0.252], [0.000, 0.000, 0.752], [0.165, 0.835, 0.492], [0.165, 0.330, 0.492], [0.670, 0.835, 0.492], [0.835, 0.165, 0.992], [0.835, 0.670, 0.992], [0.330, 0.165, 0.992]]
}

25.
{
  "formula": "CsHN2F",
  "functional": "GGA-PBEsol",
  "state": "relaxed",
  "energy_ev_per_atom": -3.465,
  "lattice": [[-1.471, 1.029, 3.115], [2.625, -1.679, 1.794], [3.087, 4.719, -0.101]],
  "species": ["Cs", "H", "N", "N", "F"],
  "frac_coords": [[0.500, 0.500, 0.500], [0.000, 0.000, 0.000], [0.000, 0.500, 0.000], [0.500, 0.000, 0.000], [0.000, 0.000, 0.500]]
}

Number 1: magnetization 0.0001 μB/atom. Number 2: magnetization 0.1733 μB/atom. Number 3: magnetization 0.4272 μB/atom. Number 4: magnetization 0.0000 μB/atom. Number 5: magnetization 0.0000 μB/atom. Number 6: magnetization 0.1118 μB/atom. Number 7: magnetization 0.0004 μB/atom. Number 8: magnetization 0.0001 μB/atom. Number 9: magnetization 0.4457 μB/atom. Number 10: magnetization 0.0000 μB/atom. Number 11: magnetization 0.0086 μB/atom. Number 12: magnetization 0.4674 μB/atom. Number 13: magnetization 0.0001 μB/atom. Number 14: magnetization 0.6564 μB/atom. Number 15: magnetization 0.3540 μB/atom. Number 16: magnetization 0.0000 μB/atom. Number 17: magnetization 0.0634 μB/atom. Number 18: magnetization 0.6754 μB/atom. Number 19: magnetization 0.0000 μB/atom. Number 20: magnetization 0.3394 μB/atom. Number 21: magnetization 0.0004 μB/atom. Number 22: magnetization 0.4795 μB/atom. Number 23: magnetization 0.0000 μB/atom. Number 24: magnetization 0.0000 μB/atom. Number 25: magnetization 0.5628 μB/atom.